Entry from the Alexandria database: a geometry-optimized BaBr structure (PBE-GGA).

a = 5.670 Å, b = 5.670 Å, c = 6.717 Å
α = 90.00°, β = 90.00°, γ = 120.00°
Sites, in units of the cell vectors:
Ba1 0.667 0.333 0.250
Ba2 0.333 0.667 0.750
Br1 0.333 0.667 0.250
Br2 0.667 0.333 0.750

Values from the calculation:
Uncorrected formation energy (meV/atom): -1448
Density of states at the Fermi level (states/eV/atom): 0.902
Space group: No. 194
Energy (eV per atom): -3.2461



Entry from the Alexandria database: a geometry-optimized AlP2 structure (PBE-GGA).

a = 7.337 Å, b = 7.337 Å, c = 3.143 Å
α = 90.00°, β = 90.00°, γ = 120.00°
Sites, in units of the cell vectors:
Al1 0.667 0.333 0.000
Al2 0.333 0.667 0.000
Al3 0.000 0.000 0.500
P1 0.281 0.000 0.000
P2 0.719 0.719 0.000
P3 0.000 0.281 0.000
P4 0.000 0.511 0.500
P5 0.511 0.000 0.500
P6 0.489 0.489 0.500

Values from the calculation:
Density of states at the Fermi level (states/eV/atom): 0.205
Space group: No. 189
ΔE_f (eV/f.u.): 0.42
Energy (eV per atom): -4.7130



Entry from the Alexandria database: a geometry-optimized TlNiOs2 structure (PBE-GGA).

a = 3.893 Å, b = 3.893 Å, c = 9.723 Å
α = 78.45°, β = 78.45°, γ = 90.00°
Sites, in units of the cell vectors:
Tl1 0.750 0.250 0.500
Tl2 0.000 0.000 0.000
Ni1 0.500 0.500 0.000
Ni2 0.250 0.750 0.500
Os1 0.550 0.125 0.250
Os2 0.200 0.625 0.250
Os3 0.875 0.800 0.750
Os4 0.375 0.450 0.750

Values from the calculation:
Energy above the most stable polymorph in this dataset (meV/atom): 458.3
Density of states at the Fermi level (states/eV/atom): 0.814
Space group: No. 122
ΔE_f (eV/f.u.): 3.71
Energy (eV per atom): -6.7241



Entry from the Alexandria database: a geometry-optimized InSiAg2 structure (PBE-GGA).

a = 9.143 Å, b = 9.143 Å, c = 9.143 Å
α = 19.88°, β = 19.88°, γ = 19.88°
Sites, in units of the cell vectors:
In1 0.500 0.500 0.500
Si1 0.743 0.743 0.743
Ag1 0.253 0.253 0.253
Ag2 0.004 0.004 0.004

Values from the calculation:
Uncorrected formation energy (meV/atom): 279
Density of states at the Fermi level (states/eV/atom): 0.723
Space group: No. 160
Energy (eV per atom): -3.1874



Entry from the Alexandria database: a geometry-optimized Ca3Si2As4 structure (PBE-GGA).

a = 7.538 Å, b = 8.116 Å, c = 8.370 Å
α = 119.00°, β = 91.22°, γ = 90.00°
Sites, in units of the cell vectors:
Ca1 0.750 0.503 0.000
Ca2 0.250 0.497 0.000
Ca3 0.865 0.218 0.246
Ca4 0.135 0.782 0.754
Ca5 0.635 0.971 0.754
Ca6 0.365 0.029 0.246
As1 0.502 0.725 0.903
As2 0.330 0.812 0.453
As3 0.670 0.188 0.547
As4 0.002 0.178 0.903
As5 0.830 0.642 0.453
As6 0.170 0.358 0.547
As7 0.498 0.275 0.097
As8 0.998 0.822 0.097
Si1 0.486 0.457 0.618
Si2 0.014 0.838 0.382
Si3 0.986 0.162 0.618
Si4 0.514 0.543 0.382

Values from the calculation:
Energy above the most stable polymorph in this dataset (meV/atom): 109.6
Uncorrected formation energy (meV/atom): -717
Space group: No. 15
Energy (eV per atom): -4.6562



Entry from the Alexandria database: a geometry-optimized ZrInCl2 structure (PBE-GGA).

a = 6.217 Å, b = 6.217 Å, c = 6.238 Å
α = 59.36°, β = 59.36°, γ = 30.35°
Sites, in units of the cell vectors:
In1 0.563 0.563 0.364
Cl1 0.919 0.919 0.009
Cl2 0.729 0.729 0.747
Zr1 0.290 0.290 0.381

Values from the calculation:
Energy above the most stable polymorph in this dataset (meV/atom): 108.1
Uncorrected formation energy (meV/atom): -937
Density of states at the Fermi level (states/eV/atom): 0.502
Space group: No. 8
Energy (eV per atom): -4.6819



Entry from the Alexandria database: a geometry-optimized LiSbTe2P structure (PBE-GGA).

a = 5.474 Å, b = 5.474 Å, c = 5.038 Å
α = 90.00°, β = 90.00°, γ = 90.00°
Sites, in units of the cell vectors:
Te1 0.000 0.500 0.000
Te2 0.500 0.000 0.000
P1 0.000 0.000 0.000
Li1 0.500 0.500 0.500
Sb1 0.000 0.000 0.500

Values from the calculation:
Energy above the most stable polymorph in this dataset (meV/atom): 0.0
Uncorrected formation energy (meV/atom): 248
Density of states at the Fermi level (states/eV/atom): 0.671
Space group: No. 123
Energy (eV per atom): -3.2981



Entry from the Alexandria database: a geometry-optimized Tb2FeH structure (PBE-GGA).

a = 3.272 Å, b = 3.272 Å, c = 8.548 Å
α = 78.96°, β = 78.96°, γ = 60.00°
Sites, in units of the cell vectors:
Tb1 0.893 0.893 0.322
Tb2 0.107 0.107 0.678
Fe1 0.000 0.000 0.000
H1 0.500 0.500 0.500

Values from the calculation:
Energy above the most stable polymorph in this dataset (meV/atom): 337.4
Density of states at the Fermi level (states/eV/atom): 0.903
Space group: No. 166
Energy (eV per atom): -4.8589